First-principles (PBE) data for a relaxed ZnAgW2 crystal, as listed in the Alexandria database.

The value obtained for the formation energy is 0.477 eV/atom. Its density of states at the Fermi level is 0.652 states/eV/atom. The calculation puts the magnetic moment at 0.0 μB/f.u.

The space group is Cm (No. 8) and the conventional cell measures 9.276, 2.694 and 5.179 Å, with angles of 90.00, 95.22 and 90.00 degrees. The inequivalent atoms are Zn at (0.000, 0.000, 0.000), Ag at (0.250, 0.000, 0.775), W at (0.001, 0.500, 0.488) and W at (0.246, 0.500, 0.267).